First-principles (PBE) data for a relaxed structure of SrMg2Rh, as listed in Alexandria via LeMat-Bulk.

As for the space group: Fm-3m. The value obtained for the total energy is -12.4 eV per cell. For the mass density, the calculation gives 4.47 Mg/m³. As for the total magnetic moment: 0.0 μB/cell.

a b c (Å): 5.0088 5.0088 5.0088
angles (deg): 60.00 60.00 60.00
With the nearest neighbours (Å) after each atom.
Positions (direct):
Sr  0.0000  0.0000  0.0000  8 Mg 3.07
Mg  0.2500  0.2500  0.2500  4 Rh 3.07, 4 Sr 3.07
Mg  0.7500  0.7500  0.7500  4 Rh 3.07, 4 Sr 3.07
Rh  0.5000  0.5000  0.5000  8 Mg 3.07



First-principles (PBE) data for a relaxed structure of SrMg2Rh, as listed in Alexandria via LeMat-Bulk.

As for the space group: Cmmm. The value obtained for the total energy is -11.5 eV per cell. For the mass density, the calculation gives 4.36 Mg/m³. As for the total magnetic moment: 0.0 μB/cell.

a b c (Å): 5.3771 5.3771 3.4148
angles (deg): 90.00 90.00 112.76
With the nearest neighbours (Å) after each atom.
Positions (direct):
Mg  0.0000  0.0000  0.0000  2 Mg 2.98, 4 Rh 3.18, 4 Sr 3.18
Mg  0.5000  0.5000  0.0000  2 Mg 2.98, 4 Sr 3.18, 4 Rh 3.18
Rh  0.5000  0.0000  0.5000  2 Sr 2.98, 8 Mg 3.18
Sr  0.0000  0.5000  0.5000  2 Rh 2.98, 8 Mg 3.18



First-principles (PBE) data for a relaxed structure of SrMg2Rh, as listed in Alexandria via LeMat-Bulk.

As for the space group: P4/mmm. The value obtained for the total energy is -13.0 eV per cell. For the mass density, the calculation gives 4.25 Mg/m³. As for the total magnetic moment: 0.0 μB/cell.

a b c (Å): 3.3333 3.3328 8.4056
angles (deg): 90.00 90.00 90.00
With the nearest neighbours (Å) after each atom.
Positions (direct):
Mg  0.0000  0.0000  0.0809  4 Rh 2.75, 1 Mg 2.84
Mg  0.0000  0.0000  0.4191  4 Rh 2.75, 1 Mg 2.84
Rh  0.5000  0.5000  0.2500  8 Mg 2.75
Sr  0.5000  0.5000  0.7500  4 Sr 3.33, 8 Mg 3.65



First-principles (PBE) data for a relaxed structure of SrMg2Rh, as listed in Alexandria via LeMat-Bulk.

As for the space group: C2/m. The value obtained for the total energy is -13.1 eV per cell. For the mass density, the calculation gives 4.11 Mg/m³. As for the total magnetic moment: 0.0 μB/cell.

a b c (Å): 6.3273 6.3273 5.2673
angles (deg): 65.28 65.28 30.53
With the nearest neighbours (Å) after each atom.
Positions (direct):
Mg  0.0565  0.0565  0.9435  2 Rh 2.70
Mg  0.4435  0.4435  0.5565  2 Rh 2.70
Rh  0.7500  0.7500  0.7500  4 Mg 2.70
Sr  0.2500  0.2500  0.2500  4 Rh 3.12, 2 Sr 3.33, 4 Mg 3.38-3.39



First-principles (PBE) data for a relaxed structure of Sr2Mg2Rh, as listed in Alexandria via LeMat-Bulk.

As for the space group: I4/mmm. The calculation puts the relative energy among the computed polymorphs at 0.077 eV per atom. For the mass density, the calculation gives 3.55 Mg/m³. As for the total magnetic moment: 0.0 μB/cell.

a b c (Å): 10.4186 10.4186 10.4186
angles (deg): 158.43 158.43 30.70
With the nearest neighbours (Å) after each atom.
Positions (direct):
Sr  0.5854  0.5854  0.0000  4 Rh 3.25, 1 Sr 3.43
Sr  0.4146  0.4146  0.0000  4 Rh 3.25, 1 Sr 3.43
Mg  0.2500  0.7500  0.5000  4 Mg 2.76
Mg  0.7500  0.2500  0.5000  4 Mg 2.76
Rh  0.0000  0.0000  0.0000  8 Sr 3.25



First-principles (PBE) data for a relaxed structure of SrMg3Rh, as listed in Alexandria via LeMat-Bulk.

As for the space group: Pm-3m. The calculation puts the relative energy among the computed polymorphs at 1.956 eV per atom. For the mass density, the calculation gives 2.13 Mg/m³. As for the total magnetic moment: 0.0 μB/cell.

a b c (Å): 5.9005 5.9005 5.9005
angles (deg): 90.00 90.00 90.00
With the nearest neighbours (Å) after each atom.
Positions (direct):
Sr  0.0000  0.0000  0.0000  6 Mg 2.95
Mg  0.0000  0.5000  0.0000  2 Sr 2.95
Mg  0.0000  0.0000  0.5000  2 Sr 2.95
Mg  0.5000  0.0000  0.0000  2 Sr 2.95
Rh  0.5000  0.5000  0.5000  12 Mg 4.17



First-principles (PBE) data for a relaxed structure of Sr4Mg3Rh2, as listed in Alexandria via LeMat-Bulk.

As for the space group: C2/m. The value obtained for the total energy is -28.5 eV per cell. For the mass density, the calculation gives 3.79 Mg/m³. As for the total magnetic moment: 0.0 μB/cell.

a b c (Å): 4.3058 7.9532 8.8442
angles (deg): 109.69 104.09 90.00
With the nearest neighbours (Å) after each atom.
Positions (direct):
Sr  0.2267  0.6776  0.4534  3 Rh 3.21-3.57, 1 Mg 3.41
Sr  0.7733  0.3224  0.5466  3 Rh 3.21-3.57, 1 Mg 3.41
Sr  0.5759  0.8550  0.1518  2 Rh 3.07-3.34, 2 Mg 3.43
Sr  0.4241  0.1450  0.8482  2 Rh 3.07-3.34, 2 Mg 3.43
Mg  0.0942  0.2433  0.1884  2 Rh 2.71, 1 Mg 3.01
Mg  0.9058  0.7567  0.8116  2 Rh 2.71, 1 Mg 3.01
Mg  0.0000  0.5000  0.0000  4 Rh 2.79, 2 Mg 3.01
Rh  0.4067  0.5507  0.8133  4 Mg 2.71-2.79
Rh  0.5933  0.4493  0.1867  4 Mg 2.71-2.79



First-principles (PBE) data for a relaxed structure of SrMg2Rh, as listed in Alexandria via LeMat-Bulk.

As for the space group: Cm. The value obtained for the total energy is -13.2 eV per cell. For the mass density, the calculation gives 3.80 Mg/m³. As for the total magnetic moment: 0.0 μB/cell.

a b c (Å): 4.6264 4.6264 6.2522
angles (deg): 68.04 68.04 59.83
With the nearest neighbours (Å) after each atom.
Positions (direct):
Sr  0.2440  0.2440  0.2656  1 Rh 3.19, 7 Mg 3.34-3.54
Mg  0.0471  0.0471  0.8580  3 Rh 2.81-2.82, 3 Mg 2.86
Mg  0.7749  0.7749  0.6762  3 Rh 2.67, 3 Mg 2.86
Rh  0.4340  0.4340  0.7002  6 Mg 2.67-2.82



> Number 7 is which compound?

Sr4Mg3Rh2



Copy entry 6 word for word.
First-principles (PBE) data for a relaxed structure of SrMg3Rh, as listed in Alexandria via LeMat-Bulk.

As for the space group: Pm-3m. The calculation puts the relative energy among the computed polymorphs at 1.956 eV per atom. For the mass density, the calculation gives 2.13 Mg/m³. As for the total magnetic moment: 0.0 μB/cell.

a b c (Å): 5.9005 5.9005 5.9005
angles (deg): 90.00 90.00 90.00
With the nearest neighbours (Å) after each atom.
Positions (direct):
Sr  0.0000  0.0000  0.0000  6 Mg 2.95
Mg  0.0000  0.5000  0.0000  2 Sr 2.95
Mg  0.0000  0.0000  0.5000  2 Sr 2.95
Mg  0.5000  0.0000  0.0000  2 Sr 2.95
Rh  0.5000  0.5000  0.5000  12 Mg 4.17



> Number 7 is which compound?

Sr4Mg3Rh2



> Among the records above, which one has the lowest mass density?

SrMg3Rh